Below is a relaxed SrErCuHg crystal, with properties calculated at the PBE level.

Structure (POSCAR):
```
SrErCuHg
1.0
7.4486 0.0000 0.0000
0.0000 7.4486 0.0000
0.0000 0.0000 7.4486
Sr Er Cu Hg
4 4 4 4
direct
0.0000 0.0000 0.0000 Sr
0.0000 0.5000 0.5000 Sr
0.5000 0.0000 0.5000 Sr
0.5000 0.5000 0.0000 Sr
0.0000 0.0000 0.5000 Er
0.0000 0.5000 0.0000 Er
0.5000 0.0000 0.0000 Er
0.5000 0.5000 0.5000 Er
0.2500 0.2500 0.2500 Cu
0.2500 0.7500 0.7500 Cu
0.7500 0.2500 0.7500 Cu
0.7500 0.7500 0.2500 Cu
0.2500 0.2500 0.7500 Hg
0.2500 0.7500 0.2500 Hg
0.7500 0.2500 0.2500 Hg
0.7500 0.7500 0.7500 Hg
```

Space-group type = F-43m (216)
Fermi-level density of states = 10.62 states/eV per cell
ΔH_f (0 K) = -19 kJ/mol of atoms